CaBi6P4O20 PBEsol relaxed; space group = P-1 (2); formation energy without anion corrections = -1981.7 meV per atom; total magnetization = 0.0 μB/f.u.
1.0
6.889 0.000 0.000
-2.866 7.005 0.000
-0.700 -3.116 8.533
Ca Bi P O
1 6 4 20
Direct
0.000 0.000 0.000
0.185 0.701 0.672
0.335 0.135 0.508
0.432 0.788 0.086
0.568 0.212 0.914
0.665 0.865 0.492
0.815 0.299 0.328
0.053 0.269 0.759
0.342 0.392 0.254
0.658 0.608 0.746
0.947 0.731 0.241
0.051 0.796 0.418
0.111 0.833 0.151
0.125 0.243 0.274
0.147 0.504 0.834
0.230 0.189 0.758
0.312 0.912 0.905
0.343 0.316 0.078
0.357 0.611 0.310
0.450 0.975 0.639
0.473 0.615 0.643
0.527 0.385 0.357
0.550 0.025 0.361
0.643 0.389 0.690
0.657 0.684 0.922
0.688 0.088 0.095
0.770 0.811 0.242
0.853 0.496 0.166
0.875 0.757 0.726
0.889 0.167 0.849
0.949 0.204 0.582


Ca2BiSbO6 PBEsol relaxed; space group = P2_1/m (11); formation energy without anion corrections = -2060.7 meV per atom; total magnetization = 0.0 μB/f.u.
1.0
5.708 0.000 0.000
0.000 8.109 0.000
-0.053 0.000 5.913
Ca Bi Sb O
4 2 2 12
Direct
0.007 0.250 0.053
0.492 0.250 0.556
0.508 0.750 0.444
0.993 0.750 0.947
0.500 0.000 0.000
0.500 0.500 0.000
0.000 0.000 0.500
0.000 0.500 0.500
0.115 0.750 0.555
0.160 0.058 0.789
0.160 0.442 0.789
0.290 0.061 0.335
0.290 0.439 0.335
0.359 0.750 0.077
0.641 0.250 0.923
0.710 0.561 0.665
0.710 0.939 0.665
0.840 0.558 0.211
0.840 0.942 0.211
0.885 0.250 0.445


CaTa2Bi2O9 PBEsol relaxed; space group = Cmc2_1 (36); formation energy without anion corrections = -2429.4 meV per atom; total magnetization = 0.0 μB/f.u.
1.0
12.475 -2.712 0.000
12.475 2.712 0.000
0.000 0.000 5.472
Ca Ta Bi O
2 4 4 18
Direct
0.244 0.756 0.500
0.756 0.244 0.000
0.171 0.666 0.037
0.334 0.829 0.037
0.666 0.171 0.537
0.829 0.334 0.537
0.026 0.577 0.459
0.423 0.974 0.459
0.577 0.026 0.959
0.974 0.423 0.959
0.017 0.673 0.046
0.023 0.099 0.265
0.099 0.023 0.765
0.242 0.260 0.229
0.260 0.242 0.729
0.327 0.983 0.046
0.330 0.670 0.071
0.357 0.469 0.353
0.469 0.357 0.853
0.531 0.643 0.353
0.643 0.531 0.853
0.670 0.330 0.571
0.673 0.017 0.546
0.740 0.758 0.229
0.758 0.740 0.729
0.901 0.977 0.265
0.977 0.901 0.765
0.983 0.327 0.546


CaTa2Bi2O9 PBEsol relaxed; space group = C2/m (12); formation energy without anion corrections = -2382.3 meV per atom; total magnetization = 0.0 μB/f.u.
1.0
12.577 -1.939 0.000
12.577 1.939 0.000
-0.323 0.000 3.900
Ca Ta Bi O
1 2 2 9
Direct
0.000 0.000 0.000
0.418 0.418 0.448
0.582 0.582 0.552
0.200 0.200 0.260
0.800 0.800 0.740
0.073 0.073 0.528
0.248 0.248 0.752
0.342 0.342 0.432
0.428 0.428 0.962
0.500 0.500 0.500
0.572 0.572 0.038
0.658 0.658 0.568
0.752 0.752 0.248
0.927 0.927 0.472


Ca2TaBiO6 PBEsol relaxed; space group = P2_1/m (11); formation energy without anion corrections = -2548.7 meV per atom; total magnetization = 0.0 μB/f.u.
1.0
5.707 0.000 0.000
0.000 8.004 0.000
-0.096 0.000 5.922
Ca Ta Bi O
4 2 2 12
Direct
0.001 0.250 0.445
0.488 0.250 0.944
0.512 0.750 0.056
0.999 0.750 0.555
0.500 0.000 0.500
0.500 0.500 0.500
0.000 0.000 0.000
0.000 0.500 0.000
0.149 0.750 0.920
0.210 0.059 0.661
0.210 0.441 0.661
0.344 0.058 0.211
0.344 0.442 0.211
0.398 0.750 0.454
0.602 0.250 0.546
0.656 0.558 0.789
0.656 0.942 0.789
0.790 0.559 0.339
0.790 0.941 0.339
0.851 0.250 0.080


Ca2Ti5Bi4O18 PBEsol relaxed; space group = Aea2 (41); formation energy without anion corrections = -2511.8 meV per atom; total magnetization = 0.0 μB/f.u.
1.0
5.413 0.000 0.000
0.000 24.041 2.716
0.000 -24.041 2.716
Ca Ti Bi O
4 10 8 36
Direct
0.009 0.040 0.960
0.491 0.540 0.460
0.509 0.460 0.540
0.991 0.960 0.040
0.000 0.357 0.690
0.000 0.517 0.517
0.000 0.690 0.357
0.004 0.441 0.597
0.496 0.941 0.097
0.500 0.017 0.017
0.500 0.190 0.857
0.500 0.857 0.190
0.504 0.097 0.941
0.996 0.597 0.441
0.004 0.106 0.857
0.022 0.737 0.184
0.478 0.237 0.684
0.496 0.606 0.357
0.504 0.357 0.606
0.522 0.684 0.237
0.978 0.184 0.737
0.996 0.857 0.106
0.061 0.327 0.732
0.066 0.681 0.444
0.083 0.519 0.598
0.204 0.756 0.925
0.211 0.989 0.662
0.214 0.334 0.190
0.231 0.116 0.425
0.244 0.978 0.479
0.246 0.291 0.276
0.254 0.791 0.776
0.256 0.478 0.979
0.269 0.616 0.925
0.286 0.834 0.690
0.289 0.489 0.162
0.296 0.256 0.425
0.417 0.019 0.098
0.434 0.181 0.944
0.439 0.827 0.232
0.561 0.232 0.827
0.566 0.944 0.181
0.583 0.098 0.019
0.704 0.425 0.256
0.711 0.162 0.489
0.714 0.690 0.834
0.731 0.925 0.616
0.744 0.979 0.478
0.746 0.776 0.791
0.754 0.276 0.291
0.756 0.479 0.978
0.769 0.425 0.116
0.786 0.190 0.334
0.789 0.662 0.989
0.796 0.925 0.756
0.917 0.598 0.519
0.934 0.444 0.681
0.939 0.732 0.327